# 1
{"formula": "CuHg2Br", "functional": "PBE-GGA", "state": "relaxed", "lattice": [[5.473, -0.372, -0.141], [-2.185, 6.367, 0.437], [0.236, 2.488, 3.212]], "species": ["Br", "Cu", "Hg", "Hg"], "fractional_positions": [[0.500, 0.500, 0.000], [0.500, 0.000, 0.500], [0.000, 0.000, 0.000], [0.000, 0.500, 0.500]], "crystal_system": "monoclinic", "spacegroup": "C2/m (12)", "raw_formation_energy_ev_per_fu": 0.63, "relative_energy_mev_per_atom": 249}


# 2
{"formula": "TeIrPt2", "functional": "PBE-GGA", "state": "relaxed", "lattice": [[-2.114, -3.917, 0.496], [2.650, -1.525, -0.751], [1.278, -0.093, 4.711]], "species": ["Ir", "Pt", "Pt", "Te"], "fractional_positions": [[0.500, 0.875, 0.699], [0.000, 0.875, 0.059], [0.500, 0.375, 0.178], [0.000, 0.374, 0.565]], "crystal_system": "orthorhombic", "spacegroup": "Pmm2 (25)", "raw_formation_energy_ev_per_fu": 0.97}


# 3
{"formula": "NpPdSe2", "functional": "PBE-GGA", "state": "relaxed", "lattice": [[-1.299, 3.948, -0.933], [-1.970, 2.348, 2.958], [3.763, 4.086, 2.330]], "species": ["Np", "Se", "Se", "Pd"], "fractional_positions": [[0.500, 0.500, 0.500], [0.253, 0.253, 0.241], [0.747, 0.747, 0.759], [0.000, 0.000, 0.000]], "crystal_system": "trigonal", "spacegroup": "R-3m (166)", "raw_formation_energy_ev_per_fu": -2.89, "relative_energy_mev_per_atom": 88}


# 4
{"formula": "CaAg3Hg3", "functional": "PBE-GGA", "state": "relaxed", "lattice": [[-2.009, 1.315, 7.290], [-0.664, -7.555, 1.180], [7.378, -0.322, 2.091]], "species": ["Ca", "Ca", "Hg", "Hg", "Hg", "Hg", "Hg", "Hg", "Ag", "Ag", "Ag", "Ag", "Ag", "Ag"], "fractional_positions": [[0.500, 0.500, 0.500], [0.000, 0.000, 0.000], [0.250, 0.000, 0.500], [0.000, 0.500, 0.250], [0.500, 0.750, 0.000], [0.750, 0.000, 0.500], [0.000, 0.500, 0.750], [0.500, 0.250, 0.000], [0.000, 0.250, 0.500], [0.000, 0.750, 0.500], [0.500, 0.000, 0.750], [0.750, 0.500, 0.000], [0.500, 0.000, 0.250], [0.250, 0.500, 0.000]], "crystal_system": "cubic", "spacegroup": "Pm-3n (223)"}


# 5
{"formula": "TaCrW2", "functional": "PBE-GGA", "state": "relaxed", "lattice": [[-2.539, 1.056, 0.150], [-0.022, -2.650, 0.748], [1.464, 2.337, 8.322]], "species": ["Cr", "Ta", "W", "W"], "fractional_positions": [[0.500, 0.500, 0.250], [0.500, 0.500, 0.750], [0.000, 0.000, 0.017], [0.000, 0.000, 0.483]], "crystal_system": "orthorhombic", "spacegroup": "Cmmm (65)", "relative_energy_mev_per_atom": 55}


# 6
{"formula": "TePb5", "functional": "PBE-GGA", "state": "relaxed", "lattice": [[1.769, 6.441, -0.104], [-1.769, 6.441, -0.104], [0.000, 2.272, 8.223]], "species": ["Te", "Pb", "Pb", "Pb", "Pb", "Pb"], "fractional_positions": [[0.279, 0.279, 0.948], [0.004, 0.004, 0.996], [0.326, 0.326, 0.327], [0.673, 0.673, 0.673], [0.604, 0.604, 0.284], [0.949, 0.949, 0.605]], "crystal_system": "monoclinic", "spacegroup": "Cm (8)", "raw_formation_energy_ev_per_fu": -0.04, "relative_energy_mev_per_atom": 17}


Mass density values, unit g cm⁻³, following the record order: 8.7 17.1 9.6 7.1 16.0 10.3.
Total energy values, unit eV per atom, following the record order: -1.436 -5.778 -6.998 -1.352 -11.822 -3.621.
DOS at the Fermi energy values, unit states/eV per cell, following the record order: 0.28 3.52 8.09 8.15 1.56 2.24.